# LiTcAu2

A geometry-optimized LiTcAu2 structure (PBEsol, the Alexandria database).

The structure in CIF format:
```
data_LiTcAu2
_cell_length_a 4.422
_cell_length_b 4.422
_cell_length_c 4.422
_cell_angle_alpha 60.00
_cell_angle_beta 60.00
_cell_angle_gamma 60.00
_space_group_name_H-M_alt 'P 1'
_space_group_IT_number 1
_space_group_name_Hall 'P 1'
loop_
_atom_site_label
_atom_site_type_symbol
_atom_site_fract_x
_atom_site_fract_y
_atom_site_fract_z
Tc1 Tc 0.250 0.250 0.250
Au1 Au 0.000 0.000 0.000
Au2 Au 0.750 0.750 0.750
Li1 Li 0.500 0.500 0.500
```

Results
As for the density of states at the Fermi level: 0.614 states/eV/atom. The value obtained for the volume is 61.14 Å³/cell. For the calculated formation energy, the calculation gives 1.2 eV/f.u. The value obtained for the density is 13550 kg/m3. The calculation puts the total energy at -4.9813 eV/atom.